## LiFe2AsOs (GGA-PBE)

Data for LiFe2AsOs after structural relaxation.

Cell lengths 3.9622, 3.9622, 4.3041 Å; angles 90.00, 90.00, 90.00 degrees
Sites, in units of the cell vectors:
Li1 0.0000 0.0000 0.0000
Fe1 0.0000 0.5000 0.0000
Fe2 0.5000 0.0000 0.0000
As1 0.5000 0.5000 0.5000
Os1 0.0000 0.0000 0.5000

## LiFeAsPd (GGA-PBE)

Data for LiFeAsPd after structural relaxation.

Cell lengths 6.0558, 6.0558, 6.0558 Å; angles 90.00, 90.00, 90.00 degrees
Sites, in units of the cell vectors:
Li1 0.0000 0.0000 0.0000
Li2 0.0000 0.5000 0.5000
Li3 0.5000 0.0000 0.5000
Li4 0.5000 0.5000 0.0000
Fe1 0.0000 0.0000 0.5000
Fe2 0.0000 0.5000 0.0000
Fe3 0.5000 0.0000 0.0000
Fe4 0.5000 0.5000 0.5000
As1 0.2500 0.2500 0.7500
As2 0.2500 0.7500 0.2500
As3 0.7500 0.2500 0.2500
As4 0.7500 0.7500 0.7500
Pd1 0.2500 0.2500 0.2500
Pd2 0.2500 0.7500 0.7500
Pd3 0.7500 0.2500 0.7500
Pd4 0.7500 0.7500 0.2500

## Li2FeAs2Rh (GGA-PBE)

Data for Li2FeAs2Rh after structural relaxation.

Cell lengths 7.1945, 7.1945, 7.1945 Å; angles 134.48, 66.29, 134.54 degrees
Sites, in units of the cell vectors:
Li1 0.1645 0.2426 0.4071
Li2 0.3355 0.7426 0.0781
Li3 0.6645 0.2574 0.9219
Li4 0.8355 0.7574 0.5929
Fe1 0.2500 0.7500 0.5000
Fe2 0.7500 0.2500 0.5000
As1 0.1147 0.7254 0.8401
As2 0.3853 0.2254 0.6107
As3 0.6147 0.7746 0.3893
As4 0.8853 0.2746 0.1599
Rh1 0.2500 0.2500 0.0000
Rh2 0.7500 0.7500 0.0000

## LiFeAsRh (GGA-PBE)

Data for LiFeAsRh after structural relaxation.

Cell lengths 5.7753, 5.7753, 5.7753 Å; angles 90.00, 90.00, 90.00 degrees
Sites, in units of the cell vectors:
Li1 0.0000 0.0000 0.0000
Li2 0.0000 0.5000 0.5000
Li3 0.5000 0.0000 0.5000
Li4 0.5000 0.5000 0.0000
Fe1 0.2500 0.2500 0.2500
Fe2 0.2500 0.7500 0.7500
Fe3 0.7500 0.2500 0.7500
Fe4 0.7500 0.7500 0.2500
As1 0.0000 0.0000 0.5000
As2 0.0000 0.5000 0.0000
As3 0.5000 0.0000 0.0000
As4 0.5000 0.5000 0.5000
Rh1 0.2500 0.2500 0.7500
Rh2 0.2500 0.7500 0.2500
Rh3 0.7500 0.2500 0.2500
Rh4 0.7500 0.7500 0.7500

## LiFe2AsRh (GGA-PBE)

Data for LiFe2AsRh after structural relaxation.

Cell lengths 4.7719, 4.7719, 4.5823 Å; angles 90.00, 90.00, 90.00 degrees
Sites, in units of the cell vectors:
Li1 0.0000 0.0000 0.0000
Fe1 0.0000 0.5000 0.5000
Fe2 0.5000 0.0000 0.5000
As1 0.5000 0.5000 0.0000
Rh1 0.5000 0.5000 0.5000

## LiFeAs2Ru (GGA-PBE)

Data for LiFeAs2Ru after structural relaxation.

Cell lengths 4.0257, 4.0257, 10.2246 Å; angles 90.00, 90.00, 90.00 degrees
Sites, in units of the cell vectors:
Li1 0.0000 0.0000 0.0000
Li2 0.5000 0.5000 0.5000
Fe1 0.0000 0.5000 0.7500
Fe2 0.5000 0.0000 0.2500
As1 0.0000 0.0000 0.3732
As2 0.0000 0.0000 0.6268
As3 0.5000 0.5000 0.1268
As4 0.5000 0.5000 0.8732
Ru1 0.0000 0.5000 0.2500
Ru2 0.5000 0.0000 0.7500

## Sr2LiFeAs (GGA-PBE)

Data for Sr2LiFeAs after structural relaxation.

Cell lengths 5.5600, 5.5600, 4.6536 Å; angles 90.00, 90.00, 90.00 degrees
Sites, in units of the cell vectors:
Sr1 0.0000 0.5000 0.0000
Sr2 0.5000 0.0000 0.0000
Li1 0.0000 0.0000 0.5000
Fe1 0.0000 0.0000 0.0000
As1 0.5000 0.5000 0.5000

## LiYFe2As (GGA-PBE)

Data for LiYFe2As after structural relaxation.

Cell lengths 4.3899, 4.3899, 5.2855 Å; angles 90.00, 90.00, 90.00 degrees
Sites, in units of the cell vectors:
Li1 0.0000 0.0000 0.0000
Y1 0.5000 0.5000 0.0000
Fe1 0.0000 0.5000 0.5000
Fe2 0.5000 0.0000 0.5000
As1 0.5000 0.5000 0.5000

## Lu2FeAs (GGA-PBE)

Data for Lu2FeAs after structural relaxation.

Cell lengths 3.6477, 3.6477, 26.3932 Å; angles 90.00, 90.00, 120.00 degrees
Sites, in units of the cell vectors:
Lu1 0.0000 0.0000 0.1004
Lu2 0.0000 0.0000 0.8996
Lu3 0.3333 0.6667 0.5662
Lu4 0.3333 0.6667 0.7671
Lu5 0.6667 0.3333 0.2329
Lu6 0.6667 0.3333 0.4338
Fe1 0.0000 0.0000 0.0000
Fe2 0.3333 0.6667 0.6667
Fe3 0.6667 0.3333 0.3333
As1 0.0000 0.0000 0.5000
As2 0.3333 0.6667 0.1667
As3 0.6667 0.3333 0.8333

## MgFeAs2 (GGA-PBE)

Data for MgFeAs2 after structural relaxation.

Cell lengths 4.3559, 4.3559, 3.5284 Å; angles 90.00, 90.00, 90.00 degrees
Sites, in units of the cell vectors:
Mg1 0.0000 0.0000 0.0000
Fe1 0.5000 0.5000 0.0000
As1 0.0000 0.5000 0.5000
As2 0.5000 0.0000 0.5000

## MgFeAs2 (GGA-PBE)

Data for MgFeAs2 after structural relaxation.

Cell lengths 6.3202, 6.3202, 6.3202 Å; angles 90.00, 90.00, 90.00 degrees
Sites, in units of the cell vectors:
Mg1 0.0000 0.0000 0.0000
Mg2 0.0000 0.5000 0.5000
Mg3 0.5000 0.0000 0.5000
Mg4 0.5000 0.5000 0.0000
Fe1 0.0000 0.0000 0.5000
Fe2 0.0000 0.5000 0.0000
Fe3 0.5000 0.0000 0.0000
Fe4 0.5000 0.5000 0.5000
As1 0.2500 0.2500 0.2500
As2 0.2500 0.2500 0.7500
As3 0.2500 0.7500 0.2500
As4 0.2500 0.7500 0.7500
As5 0.7500 0.2500 0.2500
As6 0.7500 0.2500 0.7500
As7 0.7500 0.7500 0.2500
As8 0.7500 0.7500 0.7500

## MgFeAs2 (GGA-PBE)

Data for MgFeAs2 after structural relaxation.

Cell lengths 3.6921, 4.4525, 4.6572 Å; angles 90.00, 113.12, 90.00 degrees
Sites, in units of the cell vectors:
Mg1 0.0000 0.0000 0.0000
Fe1 0.4022 0.5000 0.7976
As1 0.2914 0.0000 0.5778
As2 0.6880 0.5000 0.3679

Number 1: total moment 1.06 μB/atom, E_form 1.137 eV/atom, calculated volume 68 Å³/f.u.. Number 2: total moment 0.74 μB/atom, E_form -0.230 eV/atom, calculated volume 56 Å³/f.u.. Number 3: total moment 0.00 μB/atom, E_form -0.574 eV/atom, calculated volume 93 Å³/f.u.. Number 4: total moment 0.00 μB/atom, E_form -0.278 eV/atom, calculated volume 48 Å³/f.u.. Number 5: total moment 1.37 μB/atom, E_form 0.640 eV/atom, calculated volume 104 Å³/f.u.. Number 6: total moment 0.20 μB/atom, E_form -0.279 eV/atom, calculated volume 83 Å³/f.u.. Number 7: total moment 0.42 μB/atom, E_form 0.299 eV/atom, calculated volume 144 Å³/f.u.. Number 8: total moment 0.00 μB/atom, E_form 0.534 eV/atom, calculated volume 102 Å³/f.u.. Number 9: total moment 0.57 μB/atom, E_form 0.135 eV/atom, calculated volume 101 Å³/f.u.. Number 10: total moment 0.65 μB/atom, E_form 0.100 eV/atom, calculated volume 67 Å³/f.u.. Number 11: total moment 0.26 μB/atom, E_form 0.072 eV/atom, calculated volume 63 Å³/f.u.. Number 12: total moment 0.42 μB/atom, E_form -0.005 eV/atom, calculated volume 70 Å³/f.u..